No. 1
The following is a PBE calculation of a relaxed Nd4Bi5H crystal, from Alexandria via LeMat-Bulk.

Unit cell a=9.870 b=9.870 c=9.055 alpha=92.10 beta=92.10 gamma=20.87
Fractional coordinates of all 10 atoms:
Nd1 0.017 0.017 0.314
Nd2 0.342 0.342 0.410
Nd3 0.658 0.658 0.590
Nd4 0.983 0.983 0.686
Bi1 0.139 0.139 0.900
Bi2 0.184 0.184 0.283
Bi3 0.500 0.500 0.000
Bi4 0.816 0.816 0.717
Bi5 0.861 0.861 0.100
H1 0.500 0.500 0.500

Energy, eV per atom: -4.50
Total moment, μB per cell: 0.00
Fermi-level density of states, states/eV/cell: 7.680

---

No. 2
The following is a PBE calculation of a relaxed SiAg2Ru crystal, from Alexandria via LeMat-Bulk.

Unit cell a=8.792 b=3.031 c=5.158 alpha=90.00 beta=109.97 gamma=90.00
Fractional coordinates of all 8 atoms:
Si1 0.000 0.000 0.000
Si2 0.500 0.500 0.000
Ag1 0.224 0.500 0.359
Ag2 0.496 0.000 0.583
Ag3 0.724 0.000 0.359
Ag4 0.996 0.500 0.583
Ru1 0.280 0.000 0.929
Ru2 0.780 0.500 0.929

Energy, eV per atom: -4.93
Formation energy from raw total energies, eV/atom: 0.1733
Total moment, μB per cell: 0.81
Fermi-level density of states, states/eV/cell: 5.218

---

No. 3
The following is a PBE calculation of a relaxed LuPuRh2 crystal, from Alexandria via LeMat-Bulk.

Unit cell a=4.775 b=4.775 c=3.426 alpha=90.00 beta=90.00 gamma=90.00
Fractional coordinates of all 4 atoms:
Lu1 0.000 0.000 0.000
Pu1 0.500 0.500 0.000
Rh1 0.000 0.500 0.500
Rh2 0.500 0.000 0.500

Energy, eV per atom: -9.08
Total moment, μB per cell: 4.79
Fermi-level density of states, states/eV/cell: 9.261

---

No. 4
The following is a PBE calculation of a relaxed NbFe2HRh crystal, from Alexandria via LeMat-Bulk.

Unit cell a=3.750 b=3.750 c=4.006 alpha=90.00 beta=90.00 gamma=90.00
Fractional coordinates of all 5 atoms:
Nb1 0.000 0.000 0.000
Fe1 0.000 0.500 0.500
Fe2 0.500 0.000 0.500
H1 0.000 0.000 0.500
Rh1 0.500 0.500 0.000

Energy, eV per atom: -7.66
Total moment, μB per cell: 2.88
Fermi-level density of states, states/eV/cell: 4.000
Energy above the lowest structure with this stoichiometry, kcal/mol of atoms: 0.48

---

No. 5
The following is a PBE calculation of a relaxed Cs2ZrPbBr6 crystal, from Alexandria via LeMat-Bulk.

Unit cell a=8.228 b=8.228 c=8.228 alpha=60.00 beta=60.00 gamma=60.00
Fractional coordinates of all 10 atoms:
Cs1 0.250 0.250 0.250
Cs2 0.750 0.750 0.750
Zr1 0.000 0.000 0.000
Pb1 0.500 0.500 0.500
Br1 0.237 0.237 0.763
Br2 0.237 0.763 0.237
Br3 0.237 0.763 0.763
Br4 0.763 0.237 0.237
Br5 0.763 0.237 0.763
Br6 0.763 0.763 0.237

Energy, eV per atom: -3.66
Formation energy from raw total energies, eV/atom: -1.2564
Total moment, μB per cell: 2.00
Fermi-level density of states, states/eV/cell: 8.641

---

No. 6
The following is a PBE calculation of a relaxed NpSc2Mn2C4 crystal, from Alexandria via LeMat-Bulk.

Unit cell a=6.455 b=6.455 c=5.640 alpha=109.76 beta=109.76 gamma=28.25
Fractional coordinates of all 9 atoms:
Np1 0.000 0.000 0.000
Sc1 0.147 0.147 0.546
Sc2 0.853 0.853 0.454
Mn1 0.330 0.330 0.014
Mn2 0.670 0.670 0.986
C1 0.224 0.224 0.215
C2 0.489 0.489 0.366
C3 0.511 0.511 0.634
C4 0.776 0.776 0.785

Energy, eV per atom: -9.15
Total moment, μB per cell: 0.45
Fermi-level density of states, states/eV/cell: 8.030